[1]
An optimized crystal structure of Li2Cd5Hg2. Source: Alexandria via LeMat-Bulk, functional GGA-PBE.

```
Li2Cd5Hg2
1.0
4.482 0.000 0.000
2.216 4.582 0.000
0.329 2.216 9.312
Li Cd Hg
2 5 2
Direct
0.167 0.166 0.227 Li
0.833 0.834 0.773 Li
0.169 0.163 0.565 Cd
0.170 0.163 0.892 Cd
0.500 0.500 0.000 Cd
0.830 0.837 0.108 Cd
0.831 0.837 0.435 Cd
0.499 0.501 0.679 Hg
0.501 0.499 0.321 Hg
```

Properties
* V: 21.25 Å³ per atom
* Fermi-level density of states: 2.2 states/eV per cell
* energy relative to the elements: -0.150 eV/atom



[2]
An optimized crystal structure of CeSbAu. Source: Alexandria via LeMat-Bulk, functional GGA-PBE.

```
CeSbAu
1.0
4.584 0.000 0.000
-2.292 3.970 0.000
0.000 0.000 4.326
Ce Sb Au
1 1 1
Direct
0.000 0.000 0.000 Ce
0.333 0.667 0.549 Sb
0.667 0.333 0.351 Au
```

Properties
* formation energy from raw total energies: -768 meV/atom
* V: 26.24 Å³ per atom
* Fermi-level density of states: 5.8 states/eV per cell



| no. | magnetization (μB per cell) |
| --- | --- |
| 1 | 0.000 |
| 2 | 0.720 |